Material: PmCo2SbO8
Method: DFT, PBE+U
State: optimized geometry

a = 5.877 Å, b = 5.877 Å, c = 5.877 Å
α = 106.81°, β = 106.81°, γ = 114.94°
Fractional coordinates of all 12 atoms:
Pm  0.000  0.000  0.000
Co  0.250  0.750  0.500
Co  0.500  0.500  0.000
Sb  0.750  0.250  0.500
O  0.043  0.380  0.337
O  0.043  0.707  0.663
O  0.120  0.316  0.803
O  0.293  0.957  0.337
O  0.513  0.316  0.197
O  0.620  0.957  0.663
O  0.684  0.487  0.803
O  0.684  0.880  0.197

Calculated values
Crystal system: tetragonal
Final energy in eV per atom: -6.231